Entry 1:
VASP calculation (GGA-PBE) on crystalline SnWSeS2 at its relaxed geometry.

a b c (Å): 4.903 4.742 4.903
angles (deg): 90.00 90.00 90.00
Fractional positions:
Se: 0.000 0.000 0.000
W: 0.000 0.500 0.000
Sn: 0.500 0.500 0.500
S: 0.500 0.000 0.000
S: 0.000 0.000 0.500

Properties
As for the space group: P4/mmm, No. 123. The uncorrected formation energy is 26.87 kcal/mol of atoms.

=====

Entry 2:
VASP calculation (GGA-PBE) on crystalline Y6SnSe2S3 at its relaxed geometry.

a b c (Å): 4.020 8.204 9.115
angles (deg): 103.59 102.74 90.00
Fractional positions:
S: 0.833 0.171 0.667
S: 0.167 0.829 0.333
S: 0.500 0.500 0.000
Se: 0.170 0.337 0.339
Se: 0.830 0.663 0.661
Y: 0.997 0.266 0.993
Y: 0.003 0.734 0.007
Y: 0.672 0.070 0.345
Y: 0.661 0.594 0.322
Y: 0.339 0.406 0.678
Y: 0.328 0.930 0.655
Sn: 0.500 0.000 0.000

Properties
As for the space group: C2/m, No. 12. The uncorrected formation energy is -39.28 kcal/mol of atoms.

=====

Entry 3:
VASP calculation (GGA-PBE) on crystalline Y4SnSeS2 at its relaxed geometry.

a b c (Å): 4.066 7.118 7.094
angles (deg): 70.69 90.00 90.00
Fractional positions:
Sn: 0.500 0.500 0.000
Y: 0.000 0.229 0.262
Y: 0.500 0.768 0.246
Y: 0.500 0.232 0.754
Y: 0.000 0.771 0.738
S: 0.500 0.000 0.500
S: 0.000 0.000 0.000
Se: 0.000 0.500 0.500

Properties
As for the space group: P2/m, No. 10. The uncorrected formation energy is -37.07 kcal/mol of atoms.

=====

Entry 4:
VASP calculation (GGA-PBE) on crystalline Y4SnSe2S at its relaxed geometry.

a b c (Å): 8.285 8.285 8.268
angles (deg): 119.93 119.93 90.09
Fractional positions:
Se: 0.500 0.000 0.500
Se: 0.000 0.000 0.500
Se: 0.500 0.500 0.000
Se: 0.500 0.000 0.000
Y: 0.240 0.736 0.988
Y: 0.764 0.260 0.512
Y: 0.756 0.744 0.494
Y: 0.236 0.740 0.488
Y: 0.756 0.744 0.006
Y: 0.760 0.264 0.012
Y: 0.244 0.256 0.994
Y: 0.244 0.256 0.506
S: 0.000 0.500 0.000
S: 0.000 0.500 0.500
Sn: 0.500 0.500 0.500
Sn: 0.000 0.000 0.000

Properties
As for the space group: Imma, No. 74. The uncorrected formation energy is -35.94 kcal/mol of atoms.